(1)
Computed, not measured: a relaxed structure of TlCd2GeTe at the PBE level of DFT.

Cell and atoms, written as CIF:
```
data_TlCd2GeTe
_chemical_formula_sum 'Tl1 Cd2 Ge1 Te1'
_symmetry_space_group_name_H-M 'P 4/m m m'
_symmetry_Int_Tables_number 123
_symmetry_space_group_name_Hall '-P 4 2'
_cell_length_a 5.414
_cell_length_b 5.414
_cell_length_c 6.195
_cell_angle_alpha 90.00
_cell_angle_beta 90.00
_cell_angle_gamma 90.00
loop_
_atom_site_label
_atom_site_fract_x
_atom_site_fract_y
_atom_site_fract_z
Tl1 0.000 0.000 0.000
Cd1 0.000 0.500 0.000
Ge1 0.500 0.500 0.500
Te1 0.000 0.000 0.500
```

Calculated values
As for the electronic total energy: -1.706 eV/atom. The calculation puts the calculated density at 5755 kg/m³. Its density of states at the Fermi level is 3.12 states/eV per cell.

***

(2)
Computed, not measured: a relaxed structure of VCd2GeTe at the PBE level of DFT.

Cell and atoms, written as CIF:
```
data_VCd2GeTe
_chemical_formula_sum 'V1 Cd2 Ge1 Te1'
_symmetry_space_group_name_H-M 'P 4/m m m'
_symmetry_Int_Tables_number 123
_symmetry_space_group_name_Hall '-P 4 2'
_cell_length_a 5.308
_cell_length_b 5.308
_cell_length_c 4.768
_cell_angle_alpha 90.00
_cell_angle_beta 90.00
_cell_angle_gamma 90.00
loop_
_atom_site_label
_atom_site_fract_x
_atom_site_fract_y
_atom_site_fract_z
V1 0.000 0.000 0.000
Cd1 0.000 0.500 0.000
Ge1 0.000 0.000 0.500
Te1 0.500 0.500 0.500
```

Calculated values
As for the electronic total energy: -3.030 eV/atom. The calculation puts the calculated density at 5885 kg/m³. Its density of states at the Fermi level is 7.09 states/eV per cell.

***

(3)
Computed, not measured: a relaxed structure of CdGe2TeW at the PBE level of DFT.

Cell and atoms, written as CIF:
```
data_CdGe2TeW
_chemical_formula_sum 'Cd1 Ge2 Te1 W1'
_symmetry_space_group_name_H-M 'P 4/m m m'
_symmetry_Int_Tables_number 123
_symmetry_space_group_name_Hall '-P 4 2'
_cell_length_a 4.981
_cell_length_b 4.981
_cell_length_c 5.305
_cell_angle_alpha 90.00
_cell_angle_beta 90.00
_cell_angle_gamma 90.00
loop_
_atom_site_label
_atom_site_fract_x
_atom_site_fract_y
_atom_site_fract_z
Cd1 0.000 0.000 0.000
Ge1 0.000 0.500 0.500
Te1 0.500 0.500 0.000
W1 0.500 0.500 0.500
```

Calculated values
As for the electronic total energy: -4.762 eV/atom. The calculation puts the calculated density at 7179 kg/m³. Its density of states at the Fermi level is 3.18 states/eV per cell.

***

(4)
Computed, not measured: a relaxed structure of Th2CdGe at the PBE level of DFT.

Cell and atoms, written as CIF:
```
data_Th2CdGe
_chemical_formula_sum 'Th6 Cd3 Ge3'
_symmetry_space_group_name_H-M 'R -3 m'
_symmetry_Int_Tables_number 166
_symmetry_space_group_name_Hall '-R 3 2"'
_cell_length_a 4.1636
_cell_length_b 4.1636
_cell_length_c 24.1007
_cell_angle_alpha 90.00
_cell_angle_beta 90.00
_cell_angle_gamma 120.00
loop_
_atom_site_label
_atom_site_fract_x
_atom_site_fract_y
_atom_site_fract_z
Th1 0.0000 0.0000 0.2388
Cd1 0.0000 0.0000 0.0000
Ge1 0.0000 0.0000 0.5000
```

Calculated values
As for the electronic total energy: -5.400 eV/atom. The calculation puts the calculated density at 8937 kg/m³. Its density of states at the Fermi level is 5.65 states/eV per cell. The value obtained for the calculated formation energy is -0.31 eV/atom.

***

(5)
Computed, not measured: a relaxed structure of ThCdGe4 at the PBE level of DFT.

Cell and atoms, written as CIF:
```
data_ThCdGe4
_chemical_formula_sum 'Th4 Cd4 Ge16'
_symmetry_space_group_name_H-M 'F -4 3 m'
_symmetry_Int_Tables_number 216
_symmetry_space_group_name_Hall 'F -4 2 3'
_cell_length_a 7.988
_cell_length_b 7.988
_cell_length_c 7.988
_cell_angle_alpha 90.00
_cell_angle_beta 90.00
_cell_angle_gamma 90.00
loop_
_atom_site_label
_atom_site_fract_x
_atom_site_fract_y
_atom_site_fract_z
Th1 0.000 0.000 0.000
Cd1 0.250 0.250 0.250
Ge1 0.125 0.125 0.625
```

Calculated values
As for the electronic total energy: -4.599 eV/atom. The calculation puts the calculated density at 8274 kg/m³. Its density of states at the Fermi level is 9.76 states/eV per cell. The value obtained for the calculated formation energy is -0.13 eV/atom.

***

(6)
Computed, not measured: a relaxed structure of Th2CdGe at the PBE level of DFT.

Cell and atoms, written as CIF:
```
data_Th2CdGe
_chemical_formula_sum 'Th2 Cd1 Ge1'
_symmetry_space_group_name_H-M 'P 4/m m m'
_symmetry_Int_Tables_number 123
_symmetry_space_group_name_Hall '-P 4 2'
_cell_length_a 3.906
_cell_length_b 3.906
_cell_length_c 6.958
_cell_angle_alpha 90.00
_cell_angle_beta 90.00
_cell_angle_gamma 90.00
loop_
_atom_site_label
_atom_site_fract_x
_atom_site_fract_y
_atom_site_fract_z
Th1 0.000 0.000 0.232
Cd1 0.500 0.500 0.500
Ge1 0.500 0.500 0.000
```

Calculated values
As for the electronic total energy: -5.440 eV/atom. The calculation puts the calculated density at 10155 kg/m³. Its density of states at the Fermi level is 2.86 states/eV per cell. The value obtained for the calculated formation energy is -0.35 eV/atom.